Computed, not measured: crystalline BaSc2In at its relaxed geometry at the PBE level of DFT.

Geometry as CIF:
```
data_BaSc2In
_chemical_formula_sum 'Ba3 Sc6 In3'
_symmetry_space_group_name_H-M 'R -3 m'
_symmetry_Int_Tables_number 166
_symmetry_space_group_name_Hall '-R 3 2"'
_cell_length_a 3.4656
_cell_length_b 3.4656
_cell_length_c 36.4864
_cell_angle_alpha 90.00
_cell_angle_beta 90.00
_cell_angle_gamma 120.00
loop_
_atom_site_label
_atom_site_type_symbol
_atom_site_fract_x
_atom_site_fract_y
_atom_site_fract_z
Ba1 Ba 0.0000 0.0000 0.0000
Sc1 Sc 0.0000 0.0000 0.4175
In1 In 0.0000 0.0000 0.5000
```

Summary:
Theoretical density   4.5 g/cm3
Formation enthalpy at 0 K   0.412 eV per atom


Computed, not measured: crystalline Li2ZrCl2 at its relaxed geometry at the PBE level of DFT.

Geometry as CIF:
```
data_Li2ZrCl2
_chemical_formula_sum 'Li4 Zr2 Cl4'
_symmetry_space_group_name_H-M 'I 4/m m m'
_symmetry_Int_Tables_number 139
_symmetry_space_group_name_Hall '-I 4 2'
_cell_length_a 4.402
_cell_length_b 4.402
_cell_length_c 9.048
_cell_angle_alpha 90.00
_cell_angle_beta 90.00
_cell_angle_gamma 90.00
loop_
_atom_site_label
_atom_site_type_symbol
_atom_site_fract_x
_atom_site_fract_y
_atom_site_fract_z
Li1 Li 0.000 0.000 0.138
Zr1 Zr 0.000 0.000 0.500
Cl1 Cl 0.000 0.500 0.250
```

Summary:
Theoretical density   3.3 g/cm3
Raw formation energy   -206 kJ/mol of formula units


Computed, not measured: crystalline HgOs2Cl at its relaxed geometry at the PBE level of DFT.

Geometry as CIF:
```
data_HgOs2Cl
_chemical_formula_sum 'Hg1 Os2 Cl1'
_symmetry_space_group_name_H-M 'P 1 m 1'
_symmetry_Int_Tables_number 6
_cell_length_a 2.919
_cell_length_b 2.901
_cell_length_c 9.079
_cell_angle_alpha 90.00
_cell_angle_beta 99.15
_cell_angle_gamma 90.00
loop_
_symmetry_equiv_pos_as_xyz
'x,y,z'
'x,-y,z'
loop_
_atom_site_label
_atom_site_type_symbol
_atom_site_fract_x
_atom_site_fract_y
_atom_site_fract_z
Hg1 Hg 0.000 0.000 0.000
Os1 Os 0.378 0.500 0.756
Os2 Os 0.791 0.000 0.580
Cl1 Cl 0.684 0.500 0.362
```

Summary:
Theoretical density   13.5 g/cm3
Raw formation energy   136 kJ/mol of formula units


Repeat the third record exactly.
Computed, not measured: crystalline HgOs2Cl at its relaxed geometry at the PBE level of DFT.

Geometry as CIF:
```
data_HgOs2Cl
_chemical_formula_sum 'Hg1 Os2 Cl1'
_symmetry_space_group_name_H-M 'P 1 m 1'
_symmetry_Int_Tables_number 6
_cell_length_a 2.919
_cell_length_b 2.901
_cell_length_c 9.079
_cell_angle_alpha 90.00
_cell_angle_beta 99.15
_cell_angle_gamma 90.00
loop_
_symmetry_equiv_pos_as_xyz
'x,y,z'
'x,-y,z'
loop_
_atom_site_label
_atom_site_type_symbol
_atom_site_fract_x
_atom_site_fract_y
_atom_site_fract_z
Hg1 Hg 0.000 0.000 0.000
Os1 Os 0.378 0.500 0.756
Os2 Os 0.791 0.000 0.580
Cl1 Cl 0.684 0.500 0.362
```

Summary:
Theoretical density   13.5 g/cm3
Raw formation energy   136 kJ/mol of formula units